# AlTeW2

A relaxed structure of AlTeW2 (PBE, Alexandria via LeMat-Bulk).

Calculated values
* formation energy without anion corrections: 0.69 eV per atom
* ΔE to the lowest computed polymorph: 0.396 eV/atom
* DOS(E_F): 3.54 states/eV/f.u.
* SG: Immm

```
AlTeW2
1.0
-1.6599 2.3450 4.5173
1.6599 -2.3450 4.5173
1.6599 2.3450 -4.5173
Al Te W
1 1 2
Cartesian
0.0000 0.0000 0.0000
0.0000 0.0000 4.5173
1.6599 0.0000 2.1877
0.0000 2.3450 2.3296
```

---

# CsBaSr2Li

A relaxed structure of CsBaSr2Li (PBE, Alexandria via LeMat-Bulk).

Calculated values
* energy of formation from the pure elements: 0.1707 eV per atom
* DOS(E_F): 5.80 states/eV/f.u.
* SG: P4/mmm

```
CsBaSr2Li
1.0
6.7535 0.0000 0.0000
0.0000 6.7535 0.0000
0.0000 0.0000 6.8361
Cs Ba Sr Li
1 1 2 1
Cartesian
0.0000 0.0000 0.0000
3.3768 3.3768 0.0000
0.0000 3.3768 3.4181
3.3768 0.0000 3.4181
3.3768 3.3768 3.4181
```

---

# NbGePd4

A relaxed structure of NbGePd4 (PBE, Alexandria via LeMat-Bulk).

Calculated values
* energy of formation from the pure elements: -0.3908 eV per atom
* DOS(E_F): 3.23 states/eV/f.u.
* SG: P-1

```
NbGePd4
1.0
5.1440 0.0000 0.0000
-2.1324 4.6919 0.0000
-0.1503 -0.2066 7.7565
Nb Ge Pd
2 2 8
Cartesian
-0.1536 1.6765 1.9377
3.0149 2.8088 5.8187
1.6496 0.3743 5.8181
1.2117 4.1110 1.9383
-1.6745 3.6706 0.7867
-0.9229 4.4336 3.3656
0.3086 2.2389 4.6613
0.6795 3.2452 7.2400
2.1818 1.2401 0.5164
2.5527 2.2464 3.0952
3.7842 0.0516 4.3908
4.5358 0.8146 6.9698
```

---

# Ca5Ag2N

A relaxed structure of Ca5Ag2N (PBE, Alexandria via LeMat-Bulk).

Calculated values
* formation energy without anion corrections: -0.42 eV per atom
* DOS(E_F): 4.17 states/eV/f.u.
* SG: Pnma

```
Ca5Ag2N
1.0
9.0299 0.0000 0.0000
0.0000 6.8963 0.0000
0.0000 0.0000 13.7828
Ca Ag N
20 8 4
Cartesian
0.0000 0.0000 0.0000
0.0000 3.4481 0.0000
0.4778 1.7241 2.8258
1.3995 3.4630 8.2987
1.3995 6.8814 8.2987
2.0775 5.1722 5.2758
2.4375 1.7241 12.1672
3.1155 0.0149 1.4073
3.1155 3.4333 1.4073
4.0371 5.1722 9.7172
4.5149 0.0000 6.8914
4.5149 3.4481 6.8914
4.9927 1.7241 4.0656
5.9144 3.4630 12.3755
5.9144 6.8814 12.3755
6.5924 5.1722 1.6156
6.9524 1.7241 8.5070
7.6304 0.0149 5.4841
7.6304 3.4333 5.4841
8.5521 5.1722 10.9570
0.4030 5.1722 2.7708
1.7406 1.7241 5.6540
2.7743 5.1722 12.5454
4.1119 1.7241 9.6623
4.9180 5.1722 4.1206
6.2556 1.7241 1.2375
7.2893 5.1722 8.1289
8.6268 1.7241 11.0120
1.6098 1.7241 0.7403
2.9052 5.1722 7.6317
6.1247 1.7241 6.1512
7.4201 5.1722 13.0426
```

---

# MgZnHRh2

A relaxed structure of MgZnHRh2 (PBE, Alexandria via LeMat-Bulk).

Calculated values
* ΔE to the lowest computed polymorph: 0.000 eV/atom
* DOS(E_F): 2.84 states/eV/f.u.
* SG: P4/mmm

```
MgZnHRh2
1.0
3.9805 0.0000 0.0000
0.0000 3.9805 0.0000
0.0000 0.0000 3.8400
Mg Zn H Rh
1 1 1 2
Cartesian
0.0000 0.0000 0.0000
1.9902 1.9902 0.0000
0.0000 0.0000 1.9200
0.0000 1.9902 1.9200
1.9902 0.0000 1.9200
```

---

# Tb3TlBi

A relaxed structure of Tb3TlBi (PBE, Alexandria via LeMat-Bulk).

Calculated values
* energy of formation from the pure elements: -0.0377 eV per atom
* DOS(E_F): 5.02 states/eV/f.u.
* SG: Cmmm

```
Tb3TlBi
1.0
3.9897 -8.0155 0.0000
3.9897 8.0155 0.0000
0.0000 0.0000 5.2856
Tb Tl Bi
6 2 2
Cartesian
1.9949 4.0078 2.6428
3.9897 5.2694 0.0000
2.4964 0.0000 2.6428
1.9949 -4.0078 2.6428
5.4830 0.0000 2.6428
3.9897 -5.2694 0.0000
3.9897 6.4633 2.6428
3.9897 -6.4633 2.6428
3.9897 2.0521 0.0000
3.9897 -2.0521 0.0000
```